Record 1
The following is a DFT calculation (PBE-GGA) of a geometry-optimized MgBPd3 structure.

Computed properties:
Total energy ... -5.14 eV/atom
Energy relative to the elements ... -373.1 meV per atom
Density of states at the Fermi level ... 12.1 states/eV per cell
Energy above the most stable polymorph in this dataset ... 112.3 meV/atom

Cell lengths 9.649, 11.623, 5.205 Å; angles 90.00, 92.99, 90.00 degrees
Space group C2/c (No. 15)
Symmetry-distinct sites (fractional):
Mg: 0.136 0.073 0.062 (multiplicity 8)
B: 0.000 0.289 0.750 (multiplicity 4)
B: 0.000 0.431 0.250 (multiplicity 4)
Pd: 0.125 0.433 0.603 (multiplicity 8)
Pd: 0.126 0.173 0.570 (multiplicity 8)
Pd: 0.129 0.309 0.092 (multiplicity 8)

---

Record 2
The following is a DFT calculation (PBE-GGA) of a geometry-optimized Sc2FeSb structure.

Computed properties:
Total energy ... -6.73 eV/atom
Density of states at the Fermi level ... 8.2 states/eV per cell
E_form (uncorrected) ... -0.41 eV/atom

Cell lengths 4.062, 3.831, 10.557 Å; angles 90.00, 90.00, 90.00 degrees
Space group Amm2 (No. 38)
Symmetry-distinct sites (fractional):
Sc: 0.000 0.000 0.000 (multiplicity 2)
Sc: 0.500 0.000 0.297 (multiplicity 2)
Fe: 0.500 0.000 0.553 (multiplicity 2)
Sb: 0.000 0.000 0.716 (multiplicity 2)

---

Record 3
The following is a DFT calculation (PBE-GGA) of a geometry-optimized TeP2Au structure.

Computed properties:
Total energy ... -3.98 eV/atom
Density of states at the Fermi level ... 2.1 states/eV per cell
E_form (uncorrected) ... 0.33 eV/atom

Cell lengths 10.756, 3.163, 7.218 Å; angles 90.00, 125.77, 90.00 degrees
Space group C2/m (No. 12)
Symmetry-distinct sites (fractional):
Te: 0.000 0.000 0.000 (multiplicity 2)
P: 0.154 0.500 0.424 (multiplicity 4)
Au: 0.000 0.000 0.500 (multiplicity 2)

---

Let's list magnetic moment in order: 0.0 1.5 0.0 μB/f.u..